Entry 1:
# Mg4VN4

Mg4VN4 after structural relaxation (PBE-GGA, Alexandria).

Cell and atoms, written as POSCAR:
```
Mg4VN4
1.0
4.293 -3.902 0.000
4.293 3.902 0.000
0.000 0.000 6.578
Mg V N
8 2 8
Cartesian
3.000 2.239 4.934 Mg
2.934 0.000 0.000 Mg
2.934 0.000 3.289 Mg
5.586 2.239 4.934 Mg
3.000 -2.239 1.645 Mg
5.651 0.000 0.000 Mg
5.651 0.000 3.289 Mg
5.586 -2.239 1.645 Mg
4.293 2.627 1.645 V
4.293 -2.627 4.934 V
1.731 0.409 4.934 N
1.731 -0.409 1.645 N
4.293 1.629 0.002 N
4.293 1.629 3.287 N
4.293 -1.629 6.576 N
4.293 -1.629 3.291 N
6.855 0.409 4.934 N
6.855 -0.409 1.645 N
```

Computed properties:
* calculated volume: 110.2 Å³/f.u.
* N(E_F): 4.22 states/eV/cell
* space group: Cmcm
* total magnetization: 0.982 μB per formula unit
* ΔE_f (raw): -690.7 meV per atom

Entry 2:
# YAgTe2

YAgTe2 after structural relaxation (PBE-GGA, Alexandria).

Cell and atoms, written as POSCAR:
```
YAgTe2
1.0
2.379 1.373 7.701
-2.379 1.373 7.701
0.000 -2.747 7.701
Y Ag Te
1 1 2
Cartesian
0.000 0.000 0.000 Y
0.000 0.000 12.917 Ag
0.000 0.000 8.922 Te
0.000 0.000 20.209 Te
```

Computed properties:
* calculated volume: 151.0 Å³/f.u.
* space group: R3m
* total magnetization: 0.000 μB per formula unit
* ΔE_f (raw): -719.3 meV per atom

What is the ΔE_f (raw) in the first record? -690.7 meV per atom

Which of these has the lowest ΔE_f (raw)? YAgTe2

The lowest calculated volume belongs to which entry? Mg4VN4

Which of these has the highest calculated volume? YAgTe2